(1)
This record from Alexandria via LeMat-Bulk describes a geometry-optimized La4Ag2Ge structure. The functional is GGA-PBE.

Structure (POSCAR):
```
La4Ag2Ge
1.0
5.111 0.000 1.597
2.306 4.562 1.597
-0.048 -0.030 9.134
Ag La Ge
2 4 1
Direct
0.753 0.753 0.741 Ag
0.247 0.247 0.259 Ag
0.123 0.123 0.632 La
0.877 0.877 0.368 La
0.375 0.375 0.875 La
0.625 0.625 0.125 La
0.000 0.000 0.000 Ge
```

Properties
Space-group type: R-3m
Crystal system: trigonal
Volume in Å³ per atom: 30.49
Magnetization in μB/f.u.: 1.53
Total DFT energy (no corrections) in eV per atom: -4.573
DFT formation energy in eV/atom: -0.283

---

(2)
This record from Alexandria via LeMat-Bulk describes a geometry-optimized La6AgGe2 structure. The functional is GGA-PBE.

Structure (POSCAR):
```
La6AgGe2
1.0
-4.012 -5.748 5.656
4.420 -4.435 -6.475
5.978 5.010 4.505
La Ge Ag
12 4 2
Direct
0.702 0.034 0.332 La
0.298 0.966 0.668 La
0.804 0.744 0.548 La
0.298 0.630 0.332 La
0.436 0.266 0.170 La
0.702 0.370 0.668 La
0.096 0.266 0.830 La
0.196 0.256 0.452 La
0.904 0.734 0.170 La
0.804 0.256 0.059 La
0.564 0.734 0.830 La
0.196 0.744 0.941 La
0.657 0.000 0.657 Ge
0.500 0.380 0.880 Ge
0.343 0.000 0.343 Ge
0.500 0.620 0.120 Ge
0.000 0.500 0.500 Ag
0.000 0.000 0.000 Ag
```

Properties
Space-group type: Immm
Crystal system: orthorhombic
Volume in Å³ per atom: 31.23
Magnetization in μB/f.u.: 0.01
Total DFT energy (no corrections) in eV per atom: -5.072
DFT formation energy in eV/atom: -0.444

---

(3)
This record from Alexandria via LeMat-Bulk describes a geometry-optimized La6AgGe3 structure. The functional is GGA-PBE.

Structure (POSCAR):
```
La6AgGe3
1.0
-0.210 -7.393 -1.318
2.279 1.350 -7.940
9.797 -0.253 2.769
Ag Ge La
2 6 12
Direct
0.000 0.000 0.000 Ag
0.500 0.500 0.500 Ag
0.050 0.616 0.242 Ge
0.450 0.116 0.258 Ge
0.950 0.384 0.758 Ge
0.000 0.000 0.500 Ge
0.550 0.884 0.742 Ge
0.500 0.500 0.000 Ge
0.651 0.182 0.930 La
0.799 0.911 0.254 La
0.330 0.828 0.428 La
0.849 0.682 0.570 La
0.349 0.818 0.070 La
0.670 0.172 0.572 La
0.170 0.328 0.072 La
0.701 0.411 0.246 La
0.201 0.089 0.746 La
0.151 0.318 0.430 La
0.299 0.589 0.754 La
0.830 0.672 0.928 La
```

Properties
Space-group type: P2_1/c
Crystal system: monoclinic
Volume in Å³ per atom: 31.98
Magnetization in μB/f.u.: 0.00
Total DFT energy (no corrections) in eV per atom: -5.108
DFT formation energy in eV/atom: -0.482

---

(4)
This record from Alexandria via LeMat-Bulk describes a geometry-optimized LaAg3Ge structure. The functional is GGA-PBE.

Structure (POSCAR):
```
LaAg3Ge
1.0
4.962 0.000 0.000
0.000 4.962 0.000
0.000 0.000 4.962
Ag La Ge
3 1 1
Direct
0.500 0.000 0.000 Ag
0.000 0.500 0.000 Ag
0.000 0.000 0.500 Ag
0.500 0.500 0.500 La
0.000 0.000 0.000 Ge
```

Properties
Space-group type: Pm-3m
Crystal system: cubic
Volume in Å³ per atom: 24.44
Magnetization in μB/f.u.: 0.00
Total DFT energy (no corrections) in eV per atom: -3.577
DFT formation energy in eV/atom: 0.043
Offset from the most stable computed form in eV per atom: 0.000

---

(5)
This record from Alexandria via LeMat-Bulk describes a geometry-optimized LaAgGe structure. The functional is GGA-PBE.

Structure (POSCAR):
```
LaAgGe
1.0
-2.409 2.273 2.846
-3.627 -1.824 -1.614
1.236 -3.809 7.444
La Ag Ge
2 2 2
Direct
0.411 0.411 0.987 La
0.160 0.160 0.487 La
0.997 0.825 0.815 Ag
0.825 0.997 0.158 Ag
0.739 0.581 0.327 Ge
0.582 0.738 0.646 Ge
```

Properties
Space-group type: C2
Crystal system: monoclinic
Volume in Å³ per atom: 25.01
Magnetization in μB/f.u.: 0.00
Total DFT energy (no corrections) in eV per atom: -4.637
DFT formation energy in eV/atom: -0.505

---

(6)
This record from Alexandria via LeMat-Bulk describes a geometry-optimized LaAgGe structure. The functional is GGA-PBE.

Structure (POSCAR):
```
LaAgGe
1.0
-0.747 -0.614 3.923
-3.809 -2.274 -1.081
3.958 -2.239 0.404
Ge La Ag
1 1 1
Direct
0.190 0.333 0.667 Ge
0.657 0.667 0.333 La
0.153 0.000 0.000 Ag
```

Properties
Space-group type: P3m1
Crystal system: trigonal
Volume in Å³ per atom: 24.31
Magnetization in μB/f.u.: 0.02
Total DFT energy (no corrections) in eV per atom: -4.717
DFT formation energy in eV/atom: -0.585

---

(7)
This record from Alexandria via LeMat-Bulk describes a geometry-optimized La3Ag2Ge structure. The functional is GGA-PBE.

Structure (POSCAR):
```
La3Ag2Ge
1.0
-1.661 3.892 -3.257
-2.607 -0.959 4.560
3.943 4.332 3.165
Ag Ge La
2 1 3
Direct
0.333 0.667 0.643 Ag
0.667 0.333 0.357 Ag
0.000 0.000 0.000 Ge
0.333 0.667 0.155 La
0.000 0.000 0.500 La
0.667 0.333 0.845 La
```

Properties
Space-group type: P-3m1
Crystal system: trigonal
Volume in Å³ per atom: 27.40
Magnetization in μB/f.u.: 0.89
Total DFT energy (no corrections) in eV per atom: -4.617
DFT formation energy in eV/atom: -0.434

---

(8)
This record from Alexandria via LeMat-Bulk describes a geometry-optimized LaAgGe structure. The functional is GGA-PBE.

Structure (POSCAR):
```
LaAgGe
1.0
-2.267 -4.017 -0.529
2.109 2.334 -5.276
5.592 -1.956 -1.462
Ag La Ge
2 2 2
Direct
0.305 0.281 0.892 Ag
0.423 0.365 0.345 Ag
0.708 0.971 0.327 La
0.020 0.675 0.910 La
0.684 0.103 0.772 Ge
0.043 0.544 0.465 Ge
```

Properties
Space-group type: P-1
Crystal system: triclinic
Volume in Å³ per atom: 24.39
Magnetization in μB/f.u.: 0.00
Total DFT energy (no corrections) in eV per atom: -4.580
DFT formation energy in eV/atom: -0.448

---

(9)
This record from Alexandria via LeMat-Bulk describes a geometry-optimized La3AgGe3 structure. The functional is GGA-PBE.

Structure (POSCAR):
```
La3AgGe3
1.0
4.167 0.000 -0.909
-0.220 4.344 -1.009
0.030 0.064 10.146
Ge La Ag
3 3 1
Direct
0.565 0.565 0.129 Ge
0.146 0.646 0.292 Ge
0.853 0.353 0.705 Ge
0.314 0.814 0.628 La
0.007 0.007 0.013 La
0.683 0.183 0.367 La
0.433 0.433 0.866 Ag
```

Properties
Space-group type: Imm2
Crystal system: orthorhombic
Volume in Å³ per atom: 26.30
Magnetization in μB/f.u.: 0.35
Total DFT energy (no corrections) in eV per atom: -5.199
DFT formation energy in eV/atom: -0.701

---

(10)
This record from Alexandria via LeMat-Bulk describes a geometry-optimized LaAgGe structure. The functional is GGA-PBE.

Structure (POSCAR):
```
LaAgGe
1.0
7.550 0.047 0.029
-1.480 4.437 0.014
2.810 -1.545 4.598
Ge La Ag
2 2 2
Direct
0.116 0.662 0.361 Ge
0.774 0.424 0.228 Ge
0.766 0.120 0.628 La
0.281 0.399 0.670 La
0.516 0.778 0.196 Ag
0.948 0.865 0.937 Ag
```

Properties
Space-group type: Cm
Crystal system: monoclinic
Volume in Å³ per atom: 25.70
Magnetization in μB/f.u.: 0.00
Total DFT energy (no corrections) in eV per atom: -4.490
DFT formation energy in eV/atom: -0.358

---

(11)
This record from Alexandria via LeMat-Bulk describes a geometry-optimized LaAgGe structure. The functional is GGA-PBE.

Structure (POSCAR):
```
LaAgGe
1.0
4.601 -0.002 0.001
2.301 8.421 0.026
-0.003 -0.960 3.856
Ge La Ag
2 2 2
Direct
0.379 0.916 0.749 Ge
0.466 0.730 0.154 Ge
0.031 0.604 0.591 La
0.814 0.042 0.312 La
0.630 0.408 0.993 Ag
0.214 0.239 0.910 Ag
```

Properties
Space-group type: P-1
Crystal system: triclinic
Volume in Å³ per atom: 24.92
Magnetization in μB/f.u.: 0.00
Total DFT energy (no corrections) in eV per atom: -4.647
DFT formation energy in eV/atom: -0.515

---

(12)
This record from Alexandria via LeMat-Bulk describes a geometry-optimized LaAgGe structure. The functional is GGA-PBE.

Structure (POSCAR):
```
LaAgGe
1.0
4.663 -0.002 0.002
0.002 4.282 -0.001
1.857 -2.137 7.584
Ge Ag La
2 2 2
Direct
0.170 0.773 0.352 Ge
0.447 0.914 0.632 Ge
0.052 0.399 0.603 Ag
0.860 0.025 0.855 Ag
0.673 0.256 0.318 La
0.332 0.573 0.950 La
```

Properties
Space-group type: P1
Crystal system: triclinic
Volume in Å³ per atom: 25.23
Magnetization in μB/f.u.: 0.00
Total DFT energy (no corrections) in eV per atom: -4.479
DFT formation energy in eV/atom: -0.347